Entry 1:
A plane-wave DFT calculation with PBE was carried out for a relaxed structure of SrLi2LaIr.

a b c (Å): 5.2849 5.2849 5.2677
angles (deg): 90.00 90.00 90.00
Closest atoms and distances in Å follow each position.
Sites, in units of the cell vectors:
Sr 0.0000 0.0000 0.0000  8 Li 3.73, 4 La 3.74
Li 0.0000 0.5000 0.5000  2 Ir 2.64
Li 0.5000 0.0000 0.5000  2 Ir 2.64
La 0.5000 0.5000 0.0000  2 Ir 2.63
Ir 0.5000 0.5000 0.5000  2 La 2.63, 4 Li 2.64

Summary:
calculated volume	147	Å³/cell
calculated density	4.9	Mg/m³
space-group type	P4/mmm, No. 123
formation energy from the elements	-0.035	eV per atom

---

Entry 2:
A plane-wave DFT calculation with PBE was carried out for a relaxed structure of SrLiLaIr.

a b c (Å): 5.2024 5.2024 5.2024
angles (deg): 60.00 60.00 60.00
Closest atoms and distances in Å follow each position.
Sites, in units of the cell vectors:
Sr 0.0000 0.0000 0.0000  4 Li 3.19, 4 Ir 3.19
Li 0.2500 0.2500 0.2500  4 La 3.19, 4 Sr 3.19
La 0.5000 0.5000 0.5000  4 Li 3.19, 4 Ir 3.19
Ir 0.7500 0.7500 0.7500  4 La 3.19, 4 Sr 3.19

Summary:
calculated volume	100	Å³/cell
calculated density	7.1	Mg/m³
space-group type	F-43m, No. 216
formation energy from the elements	-0.220	eV per atom

---

Entry 3:
A plane-wave DFT calculation with PBE was carried out for a relaxed structure of LiLa2TeIr.

a b c (Å): 5.4983 5.4983 4.8096
angles (deg): 90.00 90.00 90.00
Closest atoms and distances in Å follow each position.
Sites, in units of the cell vectors:
Li 0.0000 0.0000 0.0000  2 Ir 2.40
La 0.0000 0.5000 0.5000  2 Ir 2.75
La 0.5000 0.0000 0.5000  2 Ir 2.75
Te 0.5000 0.5000 0.0000  8 La 3.65, 4 Li 3.89
Ir 0.0000 0.0000 0.5000  2 Li 2.40

Summary:
calculated volume	145	Å³/cell
calculated density	6.9	Mg/m³
space-group type	P4/mmm, No. 123
formation energy (no corrections)	-0.7626	eV per atom

---

Entry 4:
A plane-wave DFT calculation with PBE was carried out for a relaxed structure of LiLa2TlIr.

a b c (Å): 5.5309 5.5309 4.9032
angles (deg): 90.00 90.00 90.00
Closest atoms and distances in Å follow each position.
Sites, in units of the cell vectors:
Li 0.0000 0.0000 0.0000  2 Ir 2.45
La 0.0000 0.5000 0.5000  2 Ir 2.77
La 0.5000 0.0000 0.5000  2 Ir 2.77
Tl 0.5000 0.5000 0.0000  8 La 3.70, 4 Li 3.91
Ir 0.0000 0.0000 0.5000  2 Li 2.45

Summary:
calculated volume	150	Å³/cell
calculated density	7.5	Mg/m³
space-group type	P4/mmm, No. 123
formation energy from the elements	-0.357	eV per atom

---

Entry 5:
A plane-wave DFT calculation with PBE was carried out for a relaxed structure of LiLa2TlIr.

a b c (Å): 8.2576 4.2019 8.3746
angles (deg): 90.00 109.58 90.00
Closest atoms and distances in Å follow each position.
Sites, in units of the cell vectors:
Li 0.0664 0.2500 0.1533  1 Ir 2.71, 2 Tl 2.94
Li 0.9336 0.7500 0.8467  1 Ir 2.71, 2 Tl 2.94
La 0.2285 0.7500 0.5210  3 Ir 2.87-3.03
La 0.3934 0.7500 0.1593  2 Ir 2.87
La 0.6066 0.2500 0.8407  2 Ir 2.87
La 0.7715 0.2500 0.4790  3 Ir 2.87-3.03
Tl 0.1736 0.2500 0.8233  3 Li 2.94-3.17
Tl 0.8264 0.7500 0.1767  3 Li 2.94-3.17
Ir 0.3849 0.2500 0.3901  1 Li 2.71, 5 La 2.87-3.03, 2 Ir 3.01
Ir 0.6151 0.7500 0.6099  1 Li 2.71, 5 La 2.87-3.03, 2 Ir 3.01

Summary:
calculated volume	274	Å³/cell
calculated density	8.3	Mg/m³
space-group type	P2_1/m, No. 11
formation energy from the elements	-0.484	eV per atom

---

Entry 6:
A plane-wave DFT calculation with PBE was carried out for a relaxed structure of LiLa2TlIr.

a b c (Å): 5.5648 5.5648 5.3389
angles (deg): 90.00 90.00 90.00
Closest atoms and distances in Å follow each position.
Sites, in units of the cell vectors:
Li 0.0000 0.0000 0.0000  8 La 3.86, 4 Tl 3.93
La 0.0000 0.5000 0.5000  2 Ir 2.78
La 0.5000 0.0000 0.5000  2 Ir 2.78
Tl 0.5000 0.5000 0.0000  2 Ir 2.67
Ir 0.5000 0.5000 0.5000  2 Tl 2.67, 4 La 2.78

Summary:
calculated volume	165	Å³/cell
calculated density	6.8	Mg/m³
space-group type	P4/mmm, No. 123
formation energy from the elements	-0.238	eV per atom

---

Entry 7:
A plane-wave DFT calculation with PBE was carried out for a relaxed structure of LiLaTmIr.

a b c (Å): 5.0177 5.0177 5.0177
angles (deg): 60.00 60.00 60.00
Closest atoms and distances in Å follow each position.
Sites, in units of the cell vectors:
Li 0.0000 0.0000 0.0000  4 La 3.07, 4 Tm 3.07
La 0.7500 0.7500 0.7500  4 Li 3.07, 4 Ir 3.07
Tm 0.2500 0.2500 0.2500  4 Li 3.07, 4 Ir 3.07
Ir 0.5000 0.5000 0.5000  4 La 3.07, 4 Tm 3.07

Summary:
calculated volume	89	Å³/cell
calculated density	9.4	Mg/m³
space-group type	F-43m, No. 216
formation energy from the elements	-0.478	eV per atom

---

Entry 8:
A plane-wave DFT calculation with PBE was carried out for a relaxed structure of LiLaYIr.

a b c (Å): 5.0579 5.0579 5.0579
angles (deg): 60.00 60.00 60.00
Closest atoms and distances in Å follow each position.
Sites, in units of the cell vectors:
Li 0.0000 0.0000 0.0000  4 La 3.10, 4 Y 3.10
La 0.2500 0.2500 0.2500  4 Li 3.10, 4 Ir 3.10
Y 0.7500 0.7500 0.7500  4 Li 3.10, 4 Ir 3.10
Ir 0.5000 0.5000 0.5000  4 La 3.10, 4 Y 3.10

Summary:
calculated volume	91	Å³/cell
calculated density	7.7	Mg/m³
space-group type	F-43m, No. 216
formation energy from the elements	-0.449	eV per atom

---

Entry 9:
A plane-wave DFT calculation with PBE was carried out for a relaxed structure of LiLa2ZnIr.

a b c (Å): 5.5053 5.5053 4.8824
angles (deg): 90.00 90.00 90.00
Closest atoms and distances in Å follow each position.
Sites, in units of the cell vectors:
Li 0.0000 0.0000 0.0000  2 Ir 2.44
La 0.0000 0.5000 0.5000  2 Ir 2.75
La 0.5000 0.0000 0.5000  2 Ir 2.75
Zn 0.5000 0.5000 0.0000  8 La 3.68, 4 Li 3.89
Ir 0.0000 0.0000 0.5000  2 Li 2.44

Summary:
calculated volume	148	Å³/cell
calculated density	6.1	Mg/m³
space-group type	P4/mmm, No. 123
formation energy from the elements	-0.231	eV per atom

---

Entry 10:
A plane-wave DFT calculation with PBE was carried out for a relaxed structure of LiLaZnIr.

a b c (Å): 4.7835 4.7835 4.7835
angles (deg): 60.00 60.00 60.00
Closest atoms and distances in Å follow each position.
Sites, in units of the cell vectors:
Li 0.0000 0.0000 0.0000  4 Zn 2.93, 4 La 2.93
La 0.2500 0.2500 0.2500  4 Li 2.93, 4 Ir 2.93
Zn 0.7500 0.7500 0.7500  4 Ir 2.93, 4 Li 2.93
Ir 0.5000 0.5000 0.5000  4 Zn 2.93, 4 La 2.93

Summary:
calculated volume	77	Å³/cell
calculated density	8.7	Mg/m³
space-group type	F-43m, No. 216
formation energy from the elements	-0.313	eV per atom

---

Entry 11:
A plane-wave DFT calculation with PBE was carried out for a relaxed structure of Li3La2Zn12Ir.

a b c (Å): 11.9134 11.9134 11.9134
angles (deg): 28.78 28.78 28.78
Closest atoms and distances in Å follow each position.
Sites, in units of the cell vectors:
Li 0.0000 0.5000 0.5000  4 Zn 2.64
Li 0.5000 0.0000 0.5000  4 Zn 2.64
Li 0.5000 0.5000 0.0000  4 Zn 2.64
La 0.1460 0.1460 0.1460  12 Zn 3.23-3.43, 3 Ir 3.49
La 0.8540 0.8540 0.8540  12 Zn 3.23-3.43, 3 Ir 3.49
Zn 0.0921 0.0921 0.6473  4 Zn 2.57-2.63, 2 Li 2.64
Zn 0.0921 0.6473 0.0921  4 Zn 2.57-2.63, 2 Li 2.64
Zn 0.1233 0.6012 0.6012  4 Zn 2.57-2.83, 1 Ir 2.57
Zn 0.3527 0.9079 0.9079  4 Zn 2.57-2.63, 2 Li 2.64
Zn 0.3988 0.3988 0.8767  4 Zn 2.57-2.83, 1 Ir 2.57
Zn 0.3988 0.8767 0.3988  4 Zn 2.57-2.83, 1 Ir 2.57
Zn 0.6012 0.1233 0.6012  4 Zn 2.57-2.83, 1 Ir 2.57
Zn 0.6012 0.6012 0.1233  4 Zn 2.57-2.83, 1 Ir 2.57
Zn 0.6473 0.0921 0.0921  4 Zn 2.57-2.63, 2 Li 2.64
Zn 0.8767 0.3988 0.3988  4 Zn 2.57-2.83, 1 Ir 2.57
Zn 0.9079 0.3527 0.9079  4 Zn 2.57-2.63, 2 Li 2.64
Zn 0.9079 0.9079 0.3527  4 Zn 2.57-2.63, 2 Li 2.64
Ir 0.5000 0.5000 0.5000  6 Zn 2.57

Summary:
calculated volume	347	Å³/cell
calculated density	6.1	Mg/m³
space-group type	R-3m, No. 166
formation energy from the elements	-0.099	eV per atom

---

Entry 12:
A plane-wave DFT calculation with PBE was carried out for a relaxed structure of LiLa2ZnIr.

a b c (Å): 5.5426 5.5426 4.9912
angles (deg): 90.00 90.00 90.00
Closest atoms and distances in Å follow each position.
Sites, in units of the cell vectors:
Li 0.0000 0.0000 0.0000  8 La 3.73, 4 Zn 3.92
La 0.0000 0.5000 0.5000  2 Ir 2.77
La 0.5000 0.0000 0.5000  2 Ir 2.77
Zn 0.5000 0.5000 0.0000  2 Ir 2.50
Ir 0.5000 0.5000 0.5000  2 Zn 2.50, 4 La 2.77

Summary:
calculated volume	153	Å³/cell
calculated density	5.9	Mg/m³
space-group type	P4/mmm, No. 123
formation energy from the elements	-0.281	eV per atom

---

Question: calculated volume of number 10 (LiLaZnIr)?
Answer: 77 Å³/cell

---

Question: Look up the calculated volume of the first one.
Answer: 147 Å³/cell

---

Question: Among the records above, which one has the lowest calculated density?
Answer: SrLi2LaIr

---

Question: Which of these has the lowest calculated volume?
Answer: LiLaZnIr